(1)
The following is a DFT calculation (SCAN) of CuGeW2O at its PBEsol-relaxed geometry.

a = 4.577 Å, b = 4.577 Å, c = 4.056 Å
α = 90.00°, β = 90.00°, γ = 90.00°
Atoms (fractional coordinates):
Cu 0.000 0.000 0.000
Ge 0.000 0.000 0.500
W 0.000 0.500 0.000
W 0.500 0.000 0.000
O 0.500 0.500 0.500

## Properties
uncorrected formation energy	2.23	eV per atom
size of the total moment	0.000	μB/atom

(2)
The following is a DFT calculation (SCAN) of ZnCuGe2O6 at its PBEsol-relaxed geometry.

a = 6.682 Å, b = 6.682 Å, c = 5.137 Å
α = 100.06°, β = 100.06°, γ = 86.52°
Atoms (fractional coordinates):
Zn 0.234 0.766 0.750
Zn 0.766 0.234 0.250
Cu 0.405 0.595 0.250
Cu 0.595 0.405 0.750
Ge 0.107 0.294 0.789
Ge 0.294 0.107 0.289
Ge 0.706 0.893 0.711
Ge 0.893 0.706 0.211
O 0.073 0.208 0.091
O 0.125 0.637 0.383
O 0.208 0.073 0.591
O 0.298 0.477 0.878
O 0.363 0.875 0.117
O 0.477 0.298 0.378
O 0.523 0.702 0.622
O 0.637 0.125 0.883
O 0.702 0.523 0.122
O 0.792 0.927 0.409
O 0.875 0.363 0.617
O 0.927 0.792 0.909

## Properties
uncorrected formation energy	-1.52	eV per atom
size of the total moment	0.100	μB/atom

| no. | calculated density (g/cm³) |
| --- | --- |
| 1 | 10.157 |
| 2 | 5.533 |